# 1
Compound: Ni3PdI4
Source: OQMD
Functional: PBE
Structure: optimized geometry

Calculated values
VASP energy ... -26.25 eV/cell

Unit cell a=5.5413 b=5.5413 c=5.5413 alpha=90.00 beta=90.00 gamma=90.00
Space group Pm-3m (No. 221)
Asymmetric unit:
Ni (0.0000, 0.0000, 0.5000) x3
Pd (0.5000, 0.5000, 0.5000) x1
I (0.0000, 0.0000, 0.0000) x1
I (0.0000, 0.5000, 0.5000) x3

=====

# 2
Compound: CsDyCdTeSe2
Source: OQMD
Functional: PBE
Structure: optimized geometry

Calculated values
VASP energy ... -96.27 eV/cell

Unit cell a=4.3464 b=16.9247 c=11.6123 alpha=90.00 beta=90.00 gamma=90.00
Space group Cmcm (No. 63)
Asymmetric unit:
Cs (0.0000, 0.2352, 0.2500) x4
Dy (0.0000, 0.0000, 0.0000) x4
Cd (0.0000, 0.4692, 0.7500) x4
Te (0.0000, 0.0775, 0.7500) x4
Se (0.0000, 0.3904, 0.5543) x8

=====

# 3
Compound: TbSnAuSe3
Source: OQMD
Functional: PBE
Structure: optimized geometry

Calculated values
Energy above the lowest structure with this stoichiometry ... 33 meV/atom

Unit cell a=12.2139 b=4.2074 c=12.7294 alpha=90.00 beta=90.00 gamma=90.00
Space group Pnma (No. 62)
Asymmetric unit:
Tb (0.0175, 0.2500, 0.1649) x4
Sn (0.1809, 0.2500, 0.5641) x4
Au (0.2025, 0.7500, 0.3963) x4
Se (0.0154, 0.7500, 0.3211) x4
Se (0.1001, 0.2500, 0.9471) x4
Se (0.2482, 0.7500, 0.7008) x4

=====

# 4
Compound: Tb3Cu2Si4
Source: OQMD
Functional: PBE
Structure: optimized geometry

Calculated values
VASP energy ... -99.22 eV/cell

Unit cell a=10.6221 b=4.0471 c=8.0265 alpha=90.00 beta=101.05 gamma=90.00
Space group C2/m (No. 12)
Asymmetric unit:
Tb (0.0000, 0.0000, 0.0000) x2
Tb (0.1620, 0.5000, 0.6682) x4
Cu (0.1121, 0.5000, 0.2823) x4
Si (0.0593, 0.0000, 0.3883) x4
Si (0.2176, 0.5000, 0.0592) x4

=====

# 5
Compound: LiNi2B
Source: OQMD
Functional: PBE
Structure: optimized geometry

Calculated values
VASP energy ... -76.16 eV/cell

Unit cell a=5.3030 b=5.3030 c=5.3030 alpha=90.00 beta=90.00 gamma=90.00
Space group F-43m (No. 216)
Asymmetric unit:
Li (0.0000, 0.0000, 0.0000) x4
Ni (0.0000, 0.0000, 0.5000) x4
Ni (0.2500, 0.2500, 0.7500) x4
B (0.2500, 0.2500, 0.2500) x4

=====

# 6
Compound: TbTcB4
Source: OQMD
Functional: PBE
Structure: optimized geometry

Calculated values
Energy above the lowest structure with this stoichiometry ... 0 meV/atom

Unit cell a=3.1513 b=3.1513 c=7.0271 alpha=90.00 beta=90.00 gamma=120.00
Space group P6/mmm (No. 191)
Asymmetric unit:
Tb (0.0000, 0.0000, 0.0000) x1
Tc (0.0000, 0.0000, 0.5000) x1
B (0.3333, 0.6667, 0.2786) x4

=====

# 7
Compound: Pr2Nd2CI2Cl3
Source: OQMD
Functional: PBE
Structure: optimized geometry

Calculated values
Energy above the lowest structure with this stoichiometry ... 0 meV/atom

Unit cell a=19.0027 b=3.9689 c=8.2066 alpha=90.00 beta=101.52 gamma=90.00
Space group C2/m (No. 12)
Asymmetric unit:
Pr (0.1369, 0.0000, 0.0744) x4
Nd (0.0016, 0.5000, 0.7869) x4
C (0.0000, 0.0000, 0.0000) x2
I (0.1733, 0.5000, 0.7957) x4
Cl (0.0000, 0.0000, 0.5000) x2
Cl (0.1496, 0.5000, 0.3294) x4

=====

# 8
Compound: LiTbMgS3
Source: OQMD
Functional: PBE
Structure: optimized geometry

Calculated values
VASP energy ... -118.24 eV/cell

Unit cell a=3.9324 b=12.3574 c=10.9955 alpha=90.00 beta=90.00 gamma=90.00
Space group Cmcm (No. 63)
Asymmetric unit:
Li (0.0000, 0.2457, 0.2500) x4
Tb (0.0000, 0.5000, 0.0000) x4
Mg (0.0000, 0.0254, 0.7500) x4
S (0.0000, 0.1378, 0.5751) x8
S (0.0000, 0.4080, 0.7500) x4